(1)
VASP calculation (GGA-PBE) on an optimized crystal structure of TbYCdRu.

Cell lengths 5.0489, 5.0489, 5.0489 Å; angles 60.00, 60.00, 60.00 degrees
Atoms (fractional coordinates):
Tb (0.0000, 0.0000, 0.0000)
Cd (0.2500, 0.2500, 0.2500)
Ru (0.7500, 0.7500, 0.7500)
Y (0.5000, 0.5000, 0.5000)

Summary:
As for the crystal system: cubic. As for the energy above the most stable polymorph in this dataset: 0.105 eV per atom.

(2)
VASP calculation (GGA-PBE) on an optimized crystal structure of TbYCdRu.

Cell lengths 3.4809, 3.4809, 7.6807 Å; angles 90.00, 90.00, 90.00 degrees
Atoms (fractional coordinates):
Y (0.5000, 0.5000, 0.3544)
Tb (0.5000, 0.5000, 0.7864)
Ru (0.0000, 0.0000, 0.5719)
Cd (0.0000, 0.0000, 0.0721)

Summary:
As for the crystal system: tetragonal. As for the energy above the most stable polymorph in this dataset: 0.000 eV per atom.

(3)
VASP calculation (GGA-PBE) on an optimized crystal structure of TbZrCdRu.

Cell lengths 4.9294, 4.9294, 4.9294 Å; angles 60.00, 60.00, 60.00 degrees
Atoms (fractional coordinates):
Cd (0.2500, 0.2500, 0.2500)
Ru (0.7500, 0.7500, 0.7500)
Zr (0.5000, 0.5000, 0.5000)
Tb (0.0000, 0.0000, 0.0000)

Summary:
As for the crystal system: cubic.

(4)
VASP calculation (GGA-PBE) on an optimized crystal structure of CdTcRu.

Cell lengths 2.8388, 2.8388, 12.1402 Å; angles 90.00, 90.00, 90.00 degrees
Atoms (fractional coordinates):
Ru (0.0000, 0.5000, 0.2202)
Ru (0.5000, 0.0000, 0.7798)
Tc (0.5000, 0.0000, 0.0830)
Tc (0.0000, 0.5000, 0.9170)
Cd (0.5000, 0.0000, 0.3957)
Cd (0.0000, 0.5000, 0.6043)

Summary:
As for the crystal system: tetragonal. As for the energy above the most stable polymorph in this dataset: 0.000 eV per atom.

(5)
VASP calculation (GGA-PBE) on an optimized crystal structure of CdTc4Ru.

Cell lengths 5.1347, 5.1347, 5.1347 Å; angles 60.00, 60.00, 60.00 degrees
Atoms (fractional coordinates):
Tc (0.3754, 0.3754, 0.8737)
Tc (0.3754, 0.8737, 0.3754)
Tc (0.3754, 0.3754, 0.3754)
Tc (0.8737, 0.3754, 0.3754)
Cd (0.7500, 0.7500, 0.7500)
Ru (0.0000, 0.0000, 0.0000)

Summary:
As for the crystal system: cubic.

(6)
VASP calculation (GGA-PBE) on an optimized crystal structure of Cd2TcRu.

Cell lengths 4.7412, 2.7957, 5.1994 Å; angles 81.19, 90.00, 90.00 degrees
Last column: magnetic moment on the atom in μB.
Atoms (fractional coordinates):
Tc (0.5000, 0.7500, 0.7500)  0.01
Cd (0.0000, 0.4852, 0.4982)  0.00
Cd (0.0000, 0.0148, 0.0018)  0.00
Ru (0.5000, 0.2500, 0.2500)  0.60

Summary:
As for the crystal system: monoclinic. As for the energy above the most stable polymorph in this dataset: 0.428 eV per atom.

(7)
VASP calculation (GGA-PBE) on an optimized crystal structure of Cd2TcRu.

Cell lengths 5.5789, 5.5789, 5.5789 Å; angles 148.85, 130.14, 59.97 degrees
Atoms (fractional coordinates):
Cd (0.9957, 0.9957, 0.0000)
Cd (0.5043, 0.5043, 0.0000)
Ru (0.7500, 0.2500, 0.5000)
Tc (0.2500, 0.7500, 0.5000)

Summary:
As for the crystal system: orthorhombic. As for the energy above the most stable polymorph in this dataset: 0.427 eV per atom.

(8)
VASP calculation (GGA-PBE) on an optimized crystal structure of CdTcRu.

Cell lengths 6.2714, 6.2714, 6.2714 Å; angles 153.54, 153.54, 37.77 degrees
Atoms (fractional coordinates):
Ru (0.3162, 0.3162, 0.0000)
Cd (0.9988, 0.9988, 0.0000)
Tc (0.6851, 0.6851, 0.0000)

Summary:
As for the crystal system: tetragonal. As for the energy above the most stable polymorph in this dataset: 0.064 eV per atom.

Number 1: DOS at the Fermi energy 3.86 states/eV/f.u., calculated volume 22.8 Å³ per atom, total DFT energy (no corrections) -5.6058 eV per atom. Number 2: DOS at the Fermi energy 3.56 states/eV/f.u., calculated volume 23.3 Å³ per atom, total DFT energy (no corrections) -5.7109 eV per atom. Number 3: DOS at the Fermi energy 3.07 states/eV/f.u., calculated volume 21.2 Å³ per atom, total DFT energy (no corrections) -6.0449 eV per atom. Number 4: DOS at the Fermi energy 2.46 states/eV/f.u., calculated volume 16.3 Å³ per atom, total DFT energy (no corrections) -6.7543 eV per atom. Number 5: DOS at the Fermi energy 3.95 states/eV/f.u., calculated volume 16.0 Å³ per atom, total DFT energy (no corrections) -8.1762 eV per atom. Number 6: DOS at the Fermi energy 4.14 states/eV/f.u., calculated volume 17.0 Å³ per atom, total DFT energy (no corrections) -4.8384 eV per atom. Number 7: DOS at the Fermi energy 4.40 states/eV/f.u., calculated volume 17.0 Å³ per atom, total DFT energy (no corrections) -4.8399 eV per atom. Number 8: DOS at the Fermi energy 3.01 states/eV/f.u., calculated volume 16.3 Å³ per atom, total DFT energy (no corrections) -6.6900 eV per atom.